Record 1
Material: CaMg2BiH
Method: DFT, GGA-PBE
State: relaxed

abc: 4.7122 4.7122 4.8149
angles: 90.00 90.00 90.00
Fractional positions:
Ca 0.0000 0.0000 0.0000
Mg 0.0000 0.5000 0.5000
Mg 0.5000 0.0000 0.5000
Bi 0.5000 0.5000 0.0000
H 0.0000 0.0000 0.5000

Its symmetry is No. 123. The calculation puts the total energy at -13.83 eV for the cell shown.

=====

Record 2
Material: Ca2Mg4Bi3H2
Method: DFT, GGA-PBE
State: relaxed

abc: 12.6600 12.6600 12.6600
angles: 159.23 159.23 29.54
Fractional positions:
Ca 0.1924 0.1924 0.0000
Ca 0.8076 0.8076 0.0000
Mg 0.0834 0.5834 0.5000
Mg 0.4166 0.9166 0.5000
Mg 0.5834 0.0834 0.5000
Mg 0.9166 0.4166 0.5000
Bi 0.3265 0.3265 0.0000
Bi 0.5000 0.5000 0.0000
Bi 0.6735 0.6735 0.0000
H 0.0932 0.0932 0.0000
H 0.9068 0.9068 0.0000

Its symmetry is No. 139. The calculation puts the total energy at -33.05 eV for the cell shown.

=====

Record 3
Material: CaMnBi2H
Method: DFT, GGA-PBE
State: relaxed

abc: 4.9908 4.9908 5.7860
angles: 90.00 90.00 90.00
Fractional positions:
Ca 0.0000 0.0000 0.0000
Mn 0.0000 0.0000 0.5000
Bi 0.0000 0.5000 0.5000
Bi 0.5000 0.0000 0.5000
H 0.5000 0.5000 0.0000

Its symmetry is No. 123. The calculation puts the total energy at -19.86 eV for the cell shown.

=====

Record 4
Material: NaCa3Bi2H
Method: DFT, GGA-PBE
State: relaxed

abc: 9.1778 9.1778 9.1778
angles: 150.69 149.77 42.61
Fractional positions:
Na 0.0000 0.0000 0.0000
Ca 0.1730 0.6730 0.5000
Ca 0.5000 0.5000 0.0000
Ca 0.8270 0.3270 0.5000
Bi 0.3628 0.8628 0.5000
Bi 0.6372 0.1372 0.5000
H 0.0000 0.5000 0.5000

Its symmetry is No. 71. The calculation puts the total energy at -23.60 eV for the cell shown.

=====

Record 5
Material: NaCa2BiH
Method: DFT, GGA-PBE
State: relaxed

abc: 5.0098 5.0098 4.7729
angles: 90.00 90.00 90.00
Fractional positions:
Na 0.0000 0.0000 0.0000
Ca 0.0000 0.5000 0.5000
Ca 0.5000 0.0000 0.5000
Bi 0.5000 0.5000 0.0000
H 0.0000 0.0000 0.5000

Its symmetry is No. 123. The calculation puts the total energy at -14.98 eV for the cell shown.

=====

Record 6
Material: NaCaBi2H
Method: DFT, GGA-PBE
State: relaxed

abc: 5.1011 5.1011 4.7062
angles: 90.00 90.00 90.00
Fractional positions:
Na 0.0000 0.0000 0.0000
Ca 0.5000 0.5000 0.0000
Bi 0.0000 0.5000 0.5000
Bi 0.5000 0.0000 0.5000
H 0.5000 0.5000 0.5000

Its symmetry is No. 123. The calculation puts the total energy at -15.71 eV for the cell shown.

=====

Repeat the first record exactly.
Material: CaMg2BiH
Method: DFT, GGA-PBE
State: relaxed

abc: 4.7122 4.7122 4.8149
angles: 90.00 90.00 90.00
Fractional positions:
Ca 0.0000 0.0000 0.0000
Mg 0.0000 0.5000 0.5000
Mg 0.5000 0.0000 0.5000
Bi 0.5000 0.5000 0.0000
H 0.0000 0.0000 0.5000

Its symmetry is No. 123. The calculation puts the total energy at -13.83 eV for the cell shown.

=====

Q: Which formula does entry 2 have?
A: Ca2Mg4Bi3H2